Record 1
VASP calculation (GGA-PBE) on a relaxed structure of BeTlSbRu2.

Unit cell a=4.922 b=4.922 c=4.424 alpha=90.00 beta=90.00 gamma=90.00
Positions (direct):
1 Be 0.000 0.000 0.000
2 Tl 0.500 0.500 0.000
3 Sb 0.000 0.000 0.500
4 Ru 0.000 0.500 0.500
5 Ru 0.500 0.000 0.500

Calculated values
E_form (uncorrected): 1.212 eV per atom
N(E_F): 4.852 states/eV/f.u.

***

Record 2
VASP calculation (GGA-PBE) on a relaxed structure of Tb2HoAu4.

Unit cell a=5.171 b=5.171 c=12.932 alpha=90.00 beta=90.00 gamma=90.00
Positions (direct):
1 Tb 0.000 0.000 0.226
2 Tb 0.000 0.000 0.774
3 Tb 0.500 0.500 0.274
4 Tb 0.500 0.500 0.726
5 Ho 0.000 0.000 0.500
6 Ho 0.500 0.500 0.000
7 Au 0.000 0.500 0.119
8 Au 0.000 0.500 0.381
9 Au 0.000 0.500 0.619
10 Au 0.000 0.500 0.881
11 Au 0.500 0.000 0.119
12 Au 0.500 0.000 0.381
13 Au 0.500 0.000 0.619
14 Au 0.500 0.000 0.881

Calculated values
N(E_F): 5.132 states/eV/f.u.
ΔH_f (0 K): -0.707 eV/atom

***

Record 3
VASP calculation (GGA-PBE) on a relaxed structure of BeGa3Pd.

Unit cell a=4.809 b=4.809 c=4.809 alpha=90.00 beta=90.00 gamma=90.00
Positions (direct):
1 Be 0.000 0.000 0.000
2 Ga 0.000 0.500 0.500
3 Ga 0.500 0.000 0.500
4 Ga 0.500 0.500 0.000
5 Pd 0.500 0.500 0.500

Calculated values
Relative energy among the computed polymorphs: 175 meV/atom
N(E_F): 1.906 states/eV/f.u.
ΔH_f (0 K): 0.413 eV/atom

***

Record 4
VASP calculation (GGA-PBE) on a relaxed structure of CrGa.

Unit cell a=7.975 b=7.340 c=4.335 alpha=81.81 beta=65.64 gamma=32.55
Positions (direct):
1 Cr 0.044 0.044 0.206
2 Cr 0.206 0.206 0.044
3 Cr 0.794 0.794 0.956
4 Cr 0.956 0.956 0.794
5 Ga 0.210 0.540 0.210
6 Ga 0.460 0.790 0.460
7 Ga 0.540 0.210 0.540
8 Ga 0.790 0.460 0.790

Calculated values
N(E_F): 1.776 states/eV/f.u.
ΔH_f (0 K): 0.328 eV/atom

***

Record 5
VASP calculation (GGA-PBE) on a relaxed structure of ZnB3Pb.

Unit cell a=4.697 b=4.697 c=4.697 alpha=90.00 beta=90.00 gamma=90.00
Positions (direct):
1 Zn 0.000 0.000 0.000
2 B 0.000 0.500 0.500
3 B 0.500 0.000 0.500
4 B 0.500 0.500 0.000
5 Pb 0.500 0.500 0.500

Calculated values
Relative energy among the computed polymorphs: 740 meV/atom
N(E_F): 4.312 states/eV/f.u.
ΔH_f (0 K): 2.511 eV/atom

***

Record 6
VASP calculation (GGA-PBE) on a relaxed structure of CeAg2SnSe4.

Unit cell a=6.736 b=4.240 c=7.429 alpha=90.00 beta=111.45 gamma=90.00
Positions (direct):
1 Ce 0.000 0.000 0.000
2 Ag 0.500 0.000 0.500
3 Ag 0.500 0.500 0.000
4 Sn 0.000 0.500 0.500
5 Se 0.252 0.500 0.251
6 Se 0.258 0.000 0.758
7 Se 0.742 0.000 0.242
8 Se 0.748 0.500 0.749

Calculated values
E_form (uncorrected): -0.722 eV per atom
N(E_F): 4.866 states/eV/f.u.

***

It is found that the total moment values, taken in the order of the records, are 0.00; 0.00; 0.00; 0.00; 0.00; 0.35 μB/f.u..